{
  "formula": "NdDyCu6",
  "functional": "PBE",
  "state": "relaxed",
  "cell": [[-2.410, -3.330, 1.426], [4.948, -3.349, 0.540], [0.594, 1.667, 4.894]],
  "species": ["Cu", "Cu", "Cu", "Cu", "Cu", "Cu", "Dy", "Nd"],
  "fractional_positions": [[0.500, 0.500, 0.257], [0.000, 0.293, 0.372], [0.000, 0.707, 0.372], [0.500, 0.229, 0.640], [0.500, 0.771, 0.640], [0.000, 0.000, 0.710], [0.000, 0.500, 0.867], [0.500, 0.000, 0.142]],
  "formation_energy_ev_per_fu": -1.24,
  "volume_a3_per_cell": 136,
  "crystal_system": "orthorhombic",
  "sg": "Pmm2, No. 25",
  "energy_ev_per_atom": -4.113
}